Record 1
Computed, not measured: a relaxed AcHg2Bi crystal at the PBE level of DFT.

E_tot (eV/atom): -2.647
DFT formation energy (kcal/mol of atoms): -11.50
Calculated density (Mg/m³): 11.27

Cell: 4.837 4.837 5.270 Å, 90.00 90.00 90.00°
Space group P4/mmm (No. 123)
Symmetry-distinct sites (fractional):
Ac 0.000 0.000 0.000 [1 per cell]
Hg 0.000 0.500 0.500 [2 per cell]
Bi 0.500 0.500 0.000 [1 per cell]


Record 2
Computed, not measured: a relaxed AcHgBi crystal at the PBE level of DFT.

E_tot (eV/atom): -3.360
DFT formation energy (kcal/mol of atoms): -13.74
Energy relative to the lowest polymorph listed for this composition (meV/atom): 36
Calculated density (Mg/m³): 10.88

Cell: 5.775 9.577 7.024 Å, 90.00 90.00 90.00°
Space group Cmcm (No. 63)
Symmetry-distinct sites (fractional):
Ac 0.000 0.163 0.250 [4 per cell]
Hg 0.000 0.174 0.750 [4 per cell]
Bi 0.000 0.500 0.000 [4 per cell]


Record 3
Computed, not measured: a relaxed AcHoHgBi crystal at the PBE level of DFT.

E_tot (eV/atom): -3.708
DFT formation energy (kcal/mol of atoms): -11.32
Calculated density (Mg/m³): 10.66

Cell: 7.935 7.935 7.935 Å, 90.00 90.00 90.00°
Space group F-43m (No. 216)
Symmetry-distinct sites (fractional):
Ac 0.000 0.000 0.000 [4 per cell]
Ho 0.000 0.000 0.500 [4 per cell]
Hg 0.250 0.250 0.750 [4 per cell]
Bi 0.250 0.250 0.250 [4 per cell]


Record 4
Computed, not measured: a relaxed AcIn2HgBi2 crystal at the PBE level of DFT.

E_tot (eV/atom): -3.188
DFT formation energy (kcal/mol of atoms): -5.70
Calculated density (Mg/m³): 9.03

Cell: 4.813 10.292 7.987 Å, 90.00 90.00 90.00°
Space group Pmc2_1 (No. 26)
Symmetry-distinct sites (fractional):
Ac 0.000 0.039 0.000 [2 per cell]
In 0.000 0.360 0.381 [2 per cell]
In 0.500 0.440 0.062 [2 per cell]
Hg 0.500 0.157 0.704 [2 per cell]
Bi 0.000 0.334 0.777 [2 per cell]
Bi 0.500 0.156 0.280 [2 per cell]


Record 5
Computed, not measured: a relaxed K2AcHgBi2 crystal at the PBE level of DFT.

E_tot (eV/atom): -2.892
DFT formation energy (kcal/mol of atoms): -11.47
Calculated density (Mg/m³): 6.76

Cell: 4.957 10.081 9.076 Å, 90.00 90.00 90.00°
Space group Pmc2_1 (No. 26)
Symmetry-distinct sites (fractional):
K 0.000 0.081 0.000 [2 per cell]
K 0.500 0.161 0.328 [2 per cell]
Ac 0.500 0.469 0.947 [2 per cell]
Hg 0.000 0.313 0.585 [2 per cell]
Bi 0.000 0.396 0.208 [2 per cell]
Bi 0.500 0.187 0.725 [2 per cell]


Record 6
Computed, not measured: a relaxed LiAcHgBi crystal at the PBE level of DFT.

E_tot (eV/atom): -3.068
DFT formation energy (kcal/mol of atoms): -11.91
Calculated density (Mg/m³): 8.86

Cell: 7.843 7.843 7.843 Å, 90.00 90.00 90.00°
Space group F-43m (No. 216)
Symmetry-distinct sites (fractional):
Li 0.000 0.000 0.000 [4 per cell]
Ac 0.000 0.000 0.500 [4 per cell]
Hg 0.250 0.250 0.750 [4 per cell]
Bi 0.250 0.250 0.250 [4 per cell]


Record 7
Computed, not measured: a relaxed LiAc2Hg6Bi crystal at the PBE level of DFT.

E_tot (eV/atom): -1.847
DFT formation energy (kcal/mol of atoms): -6.11
Calculated density (Mg/m³): 11.06

Cell: 7.1285 7.1285 38.3434 Å, 90.00 90.00 120.00°
Space group R-3m (No. 166, hexagonal axes)
Symmetry-distinct sites (fractional):
Li 0.0000 0.0000 0.0000 [3 per cell]
Li 0.0000 0.0000 0.5000 [3 per cell]
Ac 0.0000 0.0000 0.1091 [6 per cell]
Ac 0.0000 0.0000 0.2822 [6 per cell]
Hg 0.0265 0.5133 0.3028 [18 per cell]
Hg 0.0590 0.5295 0.8608 [18 per cell]
Bi 0.0000 0.0000 0.4259 [6 per cell]


Record 8
Computed, not measured: a relaxed AcNdHgBi crystal at the PBE level of DFT.

E_tot (eV/atom): -3.823
DFT formation energy (kcal/mol of atoms): -12.87
Calculated density (Mg/m³): 10.03

Cell: 8.026 8.026 8.026 Å, 90.00 90.00 90.00°
Space group F-43m (No. 216)
Symmetry-distinct sites (fractional):
Ac 0.000 0.000 0.000 [4 per cell]
Nd 0.000 0.000 0.500 [4 per cell]
Hg 0.250 0.250 0.750 [4 per cell]
Bi 0.250 0.250 0.250 [4 per cell]


Record 9
Computed, not measured: a relaxed AcNiHgBi crystal at the PBE level of DFT.

E_tot (eV/atom): -3.729
DFT formation energy (kcal/mol of atoms): -4.87
Calculated density (Mg/m³): 11.06

Cell: 7.473 7.473 7.473 Å, 90.00 90.00 90.00°
Space group F-43m (No. 216)
Symmetry-distinct sites (fractional):
Ac 0.000 0.000 0.000 [4 per cell]
Ni 0.250 0.250 0.250 [4 per cell]
Hg 0.250 0.250 0.750 [4 per cell]
Bi 0.000 0.000 0.500 [4 per cell]


Record 10
Computed, not measured: a relaxed Ac2HgBiO5 crystal at the PBE level of DFT.

E_tot (eV/atom): -6.044
E_form (uncorrected) (meV/atom): -1911.4
Calculated density (Mg/m³): 8.89

Cell: 7.337 7.337 6.546 Å, 90.00 90.00 90.00°
Space group P4/mbm (No. 127)
Symmetry-distinct sites (fractional):
Ac 0.180 0.320 0.000 [4 per cell]
Hg 0.000 0.000 0.500 [2 per cell]
Bi 0.000 0.500 0.500 [2 per cell]
O 0.000 0.000 0.000 [2 per cell]
O 0.132 0.632 0.229 [8 per cell]


Record 11
Computed, not measured: a relaxed Ac2HgBi2O2 crystal at the PBE level of DFT.

E_tot (eV/atom): -5.326
E_form (uncorrected) (meV/atom): -1584.0
Calculated density (Mg/m³): 8.65

Cell: 4.1337 4.1337 14.3315 Å, 90.00 90.00 120.00°
Space group P-3m1 (No. 164)
Symmetry-distinct sites (fractional):
Ac 0.3333 0.6667 0.1137 [2 per cell]
Hg 0.0000 0.0000 0.5000 [1 per cell]
Bi 0.0000 0.0000 0.3020 [2 per cell]
O 0.3333 0.6667 0.9346 [2 per cell]


Record 12
Computed, not measured: a relaxed Ac2Hg2BiO2 crystal at the PBE level of DFT.

E_tot (eV/atom): -4.825
E_form (uncorrected) (meV/atom): -1593.8
Calculated density (Mg/m³): 8.67

Cell: 4.1088 4.1088 14.3535 Å, 90.00 90.00 120.00°
Space group P-3m1 (No. 164)
Symmetry-distinct sites (fractional):
Ac 0.3333 0.6667 0.1128 [2 per cell]
Hg 0.0000 0.0000 0.2939 [2 per cell]
Bi 0.0000 0.0000 0.5000 [1 per cell]
O 0.3333 0.6667 0.9354 [2 per cell]


Record 13
Computed, not measured: a relaxed AcHgBiPb2 crystal at the PBE level of DFT.

E_tot (eV/atom): -3.396
DFT formation energy (kcal/mol of atoms): -5.86
Calculated density (Mg/m³): 10.21

Cell: 6.711 15.422 6.604 Å, 90.00 90.00 90.00°
Space group Cmcm (No. 63)
Symmetry-distinct sites (fractional):
Ac 0.000 0.232 0.250 [4 per cell]
Hg 0.000 0.135 0.750 [4 per cell]
Bi 0.000 0.327 0.750 [4 per cell]
Pb 0.246 0.500 0.000 [8 per cell]


Record 14
Computed, not measured: a relaxed AcHgBi2Pd2 crystal at the PBE level of DFT.

E_tot (eV/atom): -4.041
DFT formation energy (kcal/mol of atoms): -6.49
Calculated density (Mg/m³): 9.88

Cell: 5.612 5.612 11.295 Å, 90.00 90.00 90.00°
Space group I4/mmm (No. 139)
Symmetry-distinct sites (fractional):
Ac 0.000 0.000 0.000 [2 per cell]
Hg 0.000 0.000 0.500 [2 per cell]
Bi 0.000 0.500 0.250 [4 per cell]
Pd 0.000 0.000 0.258 [4 per cell]


Record 15
Computed, not measured: a relaxed AcHgBiPd crystal at the PBE level of DFT.

E_tot (eV/atom): -3.925
DFT formation energy (kcal/mol of atoms): -12.77
Calculated density (Mg/m³): 11.45

Cell: 7.554 7.554 7.554 Å, 90.00 90.00 90.00°
Space group F-43m (No. 216)
Symmetry-distinct sites (fractional):
Ac 0.000 0.000 0.000 [4 per cell]
Hg 0.250 0.250 0.250 [4 per cell]
Bi 0.000 0.000 0.500 [4 per cell]
Pd 0.250 0.250 0.750 [4 per cell]


Record 16
Computed, not measured: a relaxed Ac2Hg3BiPd6 crystal at the PBE level of DFT.

E_tot (eV/atom): -4.016
DFT formation energy (kcal/mol of atoms): -7.75
Calculated density (Mg/m³): 10.10

Cell: 4.145 4.145 18.220 Å, 90.00 90.00 90.00°
Space group P4/mmm (No. 123)
Symmetry-distinct sites (fractional):
Ac 0.000 0.000 0.197 [2 per cell]
Hg 0.500 0.500 0.000 [1 per cell]
Hg 0.500 0.500 0.297 [2 per cell]
Bi 0.000 0.000 0.500 [1 per cell]
Pd 0.000 0.500 0.399 [4 per cell]
Pd 0.500 0.500 0.146 [2 per cell]


Record 17
Computed, not measured: a relaxed AcHgBiPd3 crystal at the PBE level of DFT.

E_tot (eV/atom): -4.378
DFT formation energy (kcal/mol of atoms): -9.22
Calculated density (Mg/m³): 10.91

Cell: 6.392 12.857 7.081 Å, 90.00 90.00 90.00°
Space group Cmcm (No. 63)
Symmetry-distinct sites (fractional):
Ac 0.000 0.168 0.250 [4 per cell]
Hg 0.000 0.421 0.250 [4 per cell]
Bi 0.000 0.141 0.750 [4 per cell]
Pd 0.000 0.356 0.750 [4 per cell]
Pd 0.221 0.000 0.000 [8 per cell]


Record 18
Computed, not measured: a relaxed AcPmHgBi crystal at the PBE level of DFT.

E_tot (eV/atom): -3.810
DFT formation energy (kcal/mol of atoms): -12.67
Calculated density (Mg/m³): 10.12

Cell: 8.005 8.005 8.005 Å, 90.00 90.00 90.00°
Space group F-43m (No. 216)
Symmetry-distinct sites (fractional):
Ac 0.000 0.000 0.000 [4 per cell]
Pm 0.000 0.000 0.500 [4 per cell]
Hg 0.250 0.250 0.250 [4 per cell]
Bi 0.250 0.250 0.750 [4 per cell]


Record 19
Computed, not measured: a relaxed Rb2AcHgBi2 crystal at the PBE level of DFT.

E_tot (eV/atom): -2.818
DFT formation energy (kcal/mol of atoms): -10.77
Calculated density (Mg/m³): 7.03

Cell: 5.038 10.425 9.141 Å, 90.00 90.00 90.00°
Space group Pmc2_1 (No. 26)
Symmetry-distinct sites (fractional):
Rb 0.000 0.087 0.000 [2 per cell]
Rb 0.500 0.159 0.330 [2 per cell]
Ac 0.500 0.476 0.958 [2 per cell]
Hg 0.000 0.318 0.593 [2 per cell]
Bi 0.000 0.401 0.217 [2 per cell]
Bi 0.500 0.202 0.732 [2 per cell]


Record 20
Computed, not measured: a relaxed Ac2HgBi4Rh3 crystal at the PBE level of DFT.

E_tot (eV/atom): -5.050
DFT formation energy (kcal/mol of atoms): -10.16
Calculated density (Mg/m³): 11.36

Cell: 4.901 4.901 10.947 Å, 90.00 90.00 90.00°
Space group P-4m2 (No. 115)
Symmetry-distinct sites (fractional):
Ac 0.000 0.500 0.248 [2 per cell]
Hg 0.500 0.500 0.000 [1 per cell]
Bi 0.000 0.000 0.500 [1 per cell]
Bi 0.000 0.500 0.859 [2 per cell]
Bi 0.500 0.500 0.500 [1 per cell]
Rh 0.000 0.000 0.000 [1 per cell]
Rh 0.000 0.500 0.616 [2 per cell]


no.,V (Å³/atom)
1,30.83
2,32.38
3,31.22
4,32.97
5,37.80
6,30.15
7,28.12
8,32.32
9,26.09
10,19.58
11,30.30
12,29.98
13,34.18
14,29.64
15,26.94
16,26.09
17,24.25
18,32.07
19,40.01
20,26.29